Entry from Alexandria via LeMat-Bulk: crystalline La11Pm9Tm4 at its relaxed geometry (PBE-GGA).

Cell: 3.709 15.803 15.803 Å, 113.42 90.00 90.00°
Sites, in units of the cell vectors:
Tm (0.500, 0.443, 0.239)
Tm (0.500, 0.239, 0.443)
Tm (0.500, 0.761, 0.557)
Tm (0.500, 0.557, 0.761)
La (0.000, 0.292, 0.292)
La (0.000, 0.630, 0.370)
La (0.000, 0.000, 0.000)
La (0.000, 0.370, 0.630)
La (0.000, 0.838, 0.162)
La (0.000, 0.162, 0.838)
La (0.000, 0.708, 0.708)
La (0.000, 0.403, 0.042)
La (0.000, 0.042, 0.403)
La (0.000, 0.597, 0.958)
La (0.000, 0.958, 0.597)
Pm (0.500, 0.628, 0.166)
Pm (0.500, 0.786, 0.933)
Pm (0.500, 0.834, 0.372)
Pm (0.500, 0.067, 0.214)
Pm (0.500, 0.166, 0.628)
Pm (0.500, 0.933, 0.786)
Pm (0.500, 0.372, 0.834)
Pm (0.500, 0.500, 0.500)
Pm (0.500, 0.214, 0.067)

Results
- ΔE_f: 0.06 eV per atom
- Space group: Cmmm, No. 65